[1]
Computed, not measured: Y2GaGe3Rh4 after structural relaxation at the PBE level of DFT.

Computed properties:
**Formation enthalpy at 0 K**: -0.87 eV/atom
**SG**: No. 115
**Crystal system**: tetragonal
**Uncorrected energy**: -67.869 eV/cell
**Size of the total moment**: 0.00 μB per atom

Cell lengths 4.2059, 4.2059, 10.1312 Å; angles 90.00, 90.00, 90.00 degrees
Last column: nearest neighbours and their distance in Å.
Fractional positions:
Y 0.0000 0.5000 0.2481  8 Rh 3.20-3.31, 6 Ge 3.22-3.28, 2 Ga 3.28
Y 0.5000 0.0000 0.7519  8 Rh 3.20-3.31, 6 Ge 3.22-3.28, 2 Ga 3.28
Ga 0.5000 0.5000 0.0000  4 Rh 2.49
Ge 0.0000 0.0000 0.0000  4 Rh 2.49
Ge 0.0000 0.5000 0.6308  5 Rh 2.40-2.49
Ge 0.5000 0.0000 0.3692  5 Rh 2.40-2.49
Rh 0.0000 0.0000 0.5000  4 Ge 2.49
Rh 0.0000 0.5000 0.8681  3 Ge 2.40-2.49, 2 Ga 2.49
Rh 0.5000 0.0000 0.1319  3 Ge 2.40-2.49, 2 Ga 2.49
Rh 0.5000 0.5000 0.5000  4 Ge 2.49


[2]
Computed, not measured: Y2Ga2GeRh5 after structural relaxation at the PBE level of DFT.

Computed properties:
**Formation enthalpy at 0 K**: -0.78 eV/atom
**SG**: No. 127
**Crystal system**: tetragonal
**Uncorrected energy**: -136.408 eV/cell
**Size of the total moment**: 0.00 μB per atom

Cell lengths 9.7692, 9.7692, 3.5228 Å; angles 90.00, 90.00, 90.00 degrees
Last column: nearest neighbours and their distance in Å.
Fractional positions:
Y 0.1731 0.3269 0.0000  3 Ga 2.78-2.95, 6 Rh 2.97-3.11
Y 0.3269 0.8269 0.0000  3 Ga 2.78-2.95, 6 Rh 2.97-3.11
Y 0.6731 0.1731 0.0000  3 Ga 2.78-2.95, 6 Rh 2.97-3.11
Y 0.8269 0.6731 0.0000  3 Ga 2.78-2.95, 6 Rh 2.97-3.11
Ga 0.1254 0.6254 0.0000  6 Rh 2.47-2.52
Ga 0.3746 0.1254 0.0000  6 Rh 2.47-2.52
Ga 0.6254 0.8746 0.0000  6 Rh 2.47-2.52
Ga 0.8746 0.3746 0.0000  6 Rh 2.47-2.52
Ge 0.0000 0.0000 0.0000  8 Rh 2.71
Ge 0.5000 0.5000 0.0000  8 Rh 2.71
Rh 0.0000 0.5000 0.5000  4 Ga 2.47
Rh 0.0663 0.7997 0.5000  2 Ga 2.52, 2 Ge 2.71
Rh 0.2003 0.0663 0.5000  2 Ga 2.52, 2 Ge 2.71
Rh 0.2997 0.5663 0.5000  2 Ga 2.52, 2 Ge 2.71
Rh 0.4337 0.2997 0.5000  2 Ga 2.52, 2 Ge 2.71
Rh 0.5000 0.0000 0.5000  4 Ga 2.47
Rh 0.5663 0.7003 0.5000  2 Ga 2.52, 2 Ge 2.71
Rh 0.7003 0.4337 0.5000  2 Ga 2.52, 2 Ge 2.71
Rh 0.7997 0.9337 0.5000  2 Ga 2.52, 2 Ge 2.71
Rh 0.9337 0.2003 0.5000  2 Ga 2.52, 2 Ge 2.71


[3]
Computed, not measured: Y2GaGe4Rh3 after structural relaxation at the PBE level of DFT.

Computed properties:
**Formation enthalpy at 0 K**: -0.73 eV/atom
**SG**: No. 115
**Crystal system**: tetragonal
**Uncorrected energy**: -63.792 eV/cell
**Size of the total moment**: 0.00 μB per atom

Cell lengths 4.1857, 4.1857, 10.4199 Å; angles 90.00, 90.00, 90.00 degrees
Last column: nearest neighbours and their distance in Å.
Fractional positions:
Y 0.0000 0.5000 0.2419  8 Ge 3.19-3.28, 6 Rh 3.20-3.41, 2 Ga 3.41
Y 0.5000 0.0000 0.7581  8 Ge 3.19-3.28, 6 Rh 3.20-3.41, 2 Ga 3.41
Ga 0.0000 0.0000 0.5000  4 Ge 2.58
Ge 0.0000 0.0000 0.0000  4 Rh 2.46
Ge 0.0000 0.5000 0.6452  3 Rh 2.40-2.58, 2 Ga 2.58
Ge 0.5000 0.0000 0.3548  3 Rh 2.40-2.58, 2 Ga 2.58
Ge 0.5000 0.5000 0.0000  4 Rh 2.46
Rh 0.0000 0.5000 0.8754  5 Ge 2.40-2.46
Rh 0.5000 0.0000 0.1246  5 Ge 2.40-2.46
Rh 0.5000 0.5000 0.5000  4 Ge 2.58


[4]
Computed, not measured: Zr2Ga2GeRh5 after structural relaxation at the PBE level of DFT.

Computed properties:
**Formation enthalpy at 0 K**: -0.66 eV/atom
**SG**: No. 127
**Crystal system**: tetragonal
**Uncorrected energy**: -142.201 eV/cell
**Size of the total moment**: 0.00 μB per atom

Cell lengths 9.5201, 9.5201, 3.5355 Å; angles 90.00, 90.00, 90.00 degrees
Last column: nearest neighbours and their distance in Å.
Fractional positions:
Zr 0.1733 0.3267 0.0000  3 Ga 2.70-2.88, 2 Rh 2.93
Zr 0.3267 0.8267 0.0000  3 Ga 2.70-2.88, 2 Rh 2.93
Zr 0.6733 0.1733 0.0000  3 Ga 2.70-2.88, 2 Rh 2.93
Zr 0.8267 0.6733 0.0000  3 Ga 2.70-2.88, 2 Rh 2.93
Ga 0.1259 0.6259 0.0000  6 Rh 2.45-2.48, 1 Zr 2.70
Ga 0.3741 0.1259 0.0000  6 Rh 2.45-2.48, 1 Zr 2.70
Ga 0.6259 0.8741 0.0000  6 Rh 2.45-2.48, 1 Zr 2.70
Ga 0.8741 0.3741 0.0000  6 Rh 2.45-2.48, 1 Zr 2.70
Ge 0.0000 0.0000 0.0000  8 Rh 2.68
Ge 0.5000 0.5000 0.0000  8 Rh 2.68
Rh 0.0000 0.5000 0.5000  4 Ga 2.45
Rh 0.0657 0.7986 0.5000  2 Ga 2.48, 2 Ge 2.68
Rh 0.2014 0.0657 0.5000  2 Ga 2.48, 2 Ge 2.68
Rh 0.2986 0.5657 0.5000  2 Ga 2.48, 2 Ge 2.68
Rh 0.4343 0.2986 0.5000  2 Ga 2.48, 2 Ge 2.68
Rh 0.5000 0.0000 0.5000  4 Ga 2.45
Rh 0.5657 0.7014 0.5000  2 Ga 2.48, 2 Ge 2.68
Rh 0.7014 0.4343 0.5000  2 Ga 2.48, 2 Ge 2.68
Rh 0.7986 0.9343 0.5000  2 Ga 2.48, 2 Ge 2.68
Rh 0.9343 0.2014 0.5000  2 Ga 2.48, 2 Ge 2.68


[5]
Computed, not measured: Ga2Ge2Ru after structural relaxation at the PBE level of DFT.

Computed properties:
**Energy above the lowest structure with this stoichiometry**: 0 meV/atom
**Formation enthalpy at 0 K**: 0.17 eV/atom
**SG**: No. 127
**Crystal system**: tetragonal
**Uncorrected energy**: -47.427 eV/cell
**Size of the total moment**: 0.00 μB per atom

Cell lengths 6.4751, 6.4751, 4.1588 Å; angles 90.00, 90.00, 90.00 degrees
Last column: nearest neighbours and their distance in Å.
Fractional positions:
Ga 0.1776 0.3224 0.0000  6 Ge 2.67-2.93
Ga 0.3224 0.8224 0.0000  6 Ge 2.67-2.93
Ga 0.6776 0.1776 0.0000  6 Ge 2.67-2.93
Ga 0.8224 0.6776 0.0000  6 Ge 2.67-2.93
Ge 0.1400 0.6400 0.5000  2 Ru 2.50, 1 Ge 2.56, 2 Ga 2.67
Ge 0.3600 0.1400 0.5000  2 Ru 2.50, 1 Ge 2.56, 2 Ga 2.67
Ge 0.6400 0.8600 0.5000  2 Ru 2.50, 1 Ge 2.56, 2 Ga 2.67
Ge 0.8600 0.3600 0.5000  2 Ru 2.50, 1 Ge 2.56, 2 Ga 2.67
Ru 0.0000 0.0000 0.5000  4 Ge 2.50
Ru 0.5000 0.5000 0.5000  4 Ge 2.50


[6]
Computed, not measured: GaGeRu2 after structural relaxation at the PBE level of DFT.

Computed properties:
**Formation enthalpy at 0 K**: -0.18 eV/atom
**SG**: No. 8
**Crystal system**: monoclinic
**Uncorrected energy**: -53.869 eV/cell
**Size of the total moment**: 0.00 μB per atom

Cell lengths 5.0989, 2.9458, 7.9464 Å; angles 90.00, 102.38, 90.00 degrees
Last column: nearest neighbours and their distance in Å.
Fractional positions:
Ga 0.0000 0.0000 0.0000  6 Ru 2.60-2.61
Ga 0.5000 0.5000 0.0000  6 Ru 2.60-2.61
Ge 0.1662 0.0000 0.4995  6 Ru 2.55-2.56
Ge 0.6662 0.5000 0.4995  6 Ru 2.55-2.56
Ru 0.0806 0.5000 0.7457  3 Ge 2.55-2.56, 3 Ga 2.60-2.61
Ru 0.2519 0.5000 0.2535  3 Ge 2.55-2.56, 3 Ga 2.60
Ru 0.5806 0.0000 0.7457  3 Ge 2.55-2.56, 3 Ga 2.60-2.61
Ru 0.7519 0.0000 0.2535  3 Ge 2.55-2.56, 3 Ga 2.60


[7]
Computed, not measured: GaGeRu2 after structural relaxation at the PBE level of DFT.

Computed properties:
**Formation enthalpy at 0 K**: -0.12 eV/atom
**SG**: No. 166
**Crystal system**: trigonal
**Uncorrected energy**: -80.061 eV/cell
**Size of the total moment**: 0.00 μB per atom

Cell lengths 2.9372, 2.9372, 23.4906 Å; angles 90.00, 90.00, 120.00 degrees
Last column: nearest neighbours and their distance in Å.
Fractional positions:
Ga 0.0000 0.0000 0.0000  6 Ru 2.63, 6 Ga 2.94
Ga 0.3333 0.6667 0.6667  6 Ru 2.63, 6 Ga 2.94
Ga 0.6667 0.3333 0.3333  6 Ru 2.63, 6 Ga 2.94
Ge 0.0000 0.0000 0.5000  6 Ru 2.55
Ge 0.3333 0.6667 0.1667  6 Ru 2.55
Ge 0.6667 0.3333 0.8333  6 Ru 2.55
Ru 0.0000 0.0000 0.2476  3 Ge 2.55, 3 Ga 2.63
Ru 0.0000 0.0000 0.7524  3 Ge 2.55, 3 Ga 2.63
Ru 0.3333 0.6667 0.4191  3 Ge 2.55, 3 Ga 2.63
Ru 0.3333 0.6667 0.9143  3 Ge 2.55, 3 Ga 2.63
Ru 0.6667 0.3333 0.0857  3 Ge 2.55, 3 Ga 2.63
Ru 0.6667 0.3333 0.5809  3 Ge 2.55, 3 Ga 2.63


[8]
Computed, not measured: GaGeRu3 after structural relaxation at the PBE level of DFT.

Computed properties:
**Energy above the lowest structure with this stoichiometry**: 0 meV/atom
**Formation enthalpy at 0 K**: 0.96 eV/atom
**SG**: No. 221
**Crystal system**: cubic
**Uncorrected energy**: -30.655 eV/cell
**Size of the total moment**: 0.26 μB per atom

Cell lengths 4.5211, 4.5211, 4.5211 Å; angles 90.00, 90.00, 90.00 degrees
Last column: nearest neighbours and their distance in Å.
Fractional positions:
Ga 0.0000 0.0000 0.0000  12 Ru 3.20
Ge 0.5000 0.5000 0.5000  6 Ru 2.26
Ru 0.0000 0.5000 0.5000  2 Ge 2.26
Ru 0.5000 0.0000 0.5000  2 Ge 2.26
Ru 0.5000 0.5000 0.0000  2 Ge 2.26


[9]
Computed, not measured: GaGeRu after structural relaxation at the PBE level of DFT.

Computed properties:
**Energy above the lowest structure with this stoichiometry**: 0 meV/atom
**Formation enthalpy at 0 K**: -0.27 eV/atom
**SG**: No. 64
**Crystal system**: orthorhombic
**Uncorrected energy**: -70.902 eV/cell
**Size of the total moment**: 0.00 μB per atom

Cell lengths 6.7079, 6.7079, 6.2985 Å; angles 90.00, 90.00, 136.91 degrees
Last column: nearest neighbours and their distance in Å.
Fractional positions:
Ga 0.1979 0.3021 0.2500  2 Ga 2.46, 4 Ru 2.56-2.64
Ga 0.3021 0.1979 0.7500  2 Ga 2.46, 4 Ru 2.56-2.64
Ga 0.6979 0.8021 0.2500  2 Ga 2.46, 4 Ru 2.56-2.64
Ga 0.8021 0.6979 0.7500  2 Ga 2.46, 4 Ru 2.56-2.64
Ge 0.2000 0.8000 0.4344  4 Ru 2.45-2.69
Ge 0.3000 0.7000 0.9344  4 Ru 2.45-2.69
Ge 0.7000 0.3000 0.0656  4 Ru 2.45-2.69
Ge 0.8000 0.2000 0.5656  4 Ru 2.45-2.69
Ru 0.1148 0.8852 0.0832  4 Ge 2.45-2.69, 4 Ga 2.56-2.64
Ru 0.3852 0.6148 0.5832  4 Ge 2.45-2.69, 4 Ga 2.56-2.64
Ru 0.6148 0.3852 0.4168  4 Ge 2.45-2.69, 4 Ga 2.56-2.64
Ru 0.8852 0.1148 0.9168  4 Ge 2.45-2.69, 4 Ga 2.56-2.64


[10]
Computed, not measured: Ga2Ge2Ru after structural relaxation at the PBE level of DFT.

Computed properties:
**Energy above the lowest structure with this stoichiometry**: 167 meV/atom
**Formation enthalpy at 0 K**: 0.34 eV/atom
**SG**: No. 139
**Crystal system**: tetragonal
**Uncorrected energy**: -45.758 eV/cell
**Size of the total moment**: 0.06 μB per atom

Cell lengths 3.3833, 3.3833, 16.1943 Å; angles 90.00, 90.00, 90.00 degrees
Last column: nearest neighbours and their distance in Å.
Fractional positions:
Ga 0.0000 0.5000 0.2500  4 Ga 2.39
Ga 0.0000 0.5000 0.7500  4 Ga 2.39
Ga 0.5000 0.0000 0.2500  4 Ga 2.39
Ga 0.5000 0.0000 0.7500  4 Ga 2.39
Ge 0.0000 0.0000 0.0843  1 Ge 2.73, 4 Ru 2.75
Ge 0.0000 0.0000 0.9157  1 Ge 2.73, 4 Ru 2.75
Ge 0.5000 0.5000 0.4157  1 Ge 2.73, 4 Ru 2.75
Ge 0.5000 0.5000 0.5843  1 Ge 2.73, 4 Ru 2.75
Ru 0.0000 0.0000 0.5000  8 Ge 2.75
Ru 0.5000 0.5000 0.0000  8 Ge 2.75


- Which formula does entry 1 have?
  Y2GaGe3Rh4